Here is a relaxed structure of CaCuTeI2 from Alexandria. Energies are from PBE.

Geometry as extended XYZ:
```
5
Lattice="5.378 0.000 0.000 0.000 5.378 0.000 0.000 0.000 5.469" Properties=species:S:1:pos:R:3 pbc="T T T"
I 0.000 2.689 0.000
I 2.689 0.000 0.000
Ca 2.689 2.689 2.734
Te 0.000 0.000 2.734
Cu 0.000 0.000 0.000
```

Results
energy relative to the elements, uncorrected	-0.43	eV/atom
E_tot	-2.902	eV per atom
energy above the most stable polymorph in this dataset	0.0	meV/atom


Here is a relaxed structure of CaTlCu2I from Alexandria. Energies are from PBE.

Geometry as extended XYZ:
```
5
Lattice="5.068 0.000 0.000 0.000 5.807 0.000 0.000 0.000 5.068" Properties=species:S:1:pos:R:3 pbc="T T T"
I 0.000 0.000 0.000
Tl 2.534 2.904 2.534
Ca 0.000 2.904 0.000
Cu 0.000 0.000 2.534
Cu 2.534 0.000 0.000
```

Results
energy relative to the elements, uncorrected	0.46	eV/atom
E_tot	-2.364	eV per atom


Here is a relaxed structure of CaTl2Cu2I6 from Alexandria. Energies are from PBE.

Geometry as extended XYZ:
```
11
Lattice="8.575 0.000 0.000 -4.287 6.012 0.087 0.000 -3.299 8.870" Properties=species:S:1:pos:R:3 pbc="T T T"
Ca 4.287 -1.649 4.435
Tl 4.287 1.911 1.276
Tl 0.000 0.802 7.681
Cu 4.287 3.340 6.225
Cu 0.000 -0.627 2.732
I 4.287 1.428 4.544
I -2.039 4.540 2.015
I 2.248 -1.827 6.942
I 6.327 -1.827 6.942
I 2.039 4.540 2.015
I 0.000 1.285 4.413
```

Results
energy relative to the elements, uncorrected	-0.68	eV/atom
E_tot	-2.879	eV per atom


Here is a relaxed structure of CaCuWI2 from Alexandria. Energies are from PBE.

Geometry as extended XYZ:
```
5
Lattice="5.430 0.000 0.000 0.000 5.016 0.000 0.000 0.000 5.430" Properties=species:S:1:pos:R:3 pbc="T T T"
I 0.000 0.000 2.715
I 2.715 0.000 0.000
Ca 2.715 2.508 2.715
Cu 0.000 0.000 0.000
W 0.000 2.508 0.000
```

Results
energy relative to the elements, uncorrected	0.84	eV/atom
E_tot	-3.591	eV per atom


Here is a relaxed structure of Ca2YCuI from Alexandria. Energies are from PBE.

Geometry as extended XYZ:
```
5
Lattice="5.731 0.000 0.000 0.000 5.699 0.000 0.000 0.000 5.731" Properties=species:S:1:pos:R:3 pbc="T T T"
I 0.000 0.000 0.000
Y 0.000 2.850 0.000
Ca 0.000 0.000 2.866
Ca 2.866 0.000 0.000
Cu 2.866 2.850 2.866
```

Results
energy relative to the elements, uncorrected	0.43	eV/atom
E_tot	-2.792	eV per atom


Here is a relaxed structure of CaZr2CuI from Alexandria. Energies are from PBE.

Geometry as extended XYZ:
```
5
Lattice="-2.846 0.789 4.365 -0.373 -5.555 0.761 4.422 0.096 2.865" Properties=species:S:1:pos:R:3 pbc="T T T"
I 0.000 0.000 0.000
Ca -0.186 -2.777 0.381
Cu 0.602 -2.335 3.996
Zr 2.211 0.048 1.433
Zr -1.423 0.395 2.183
```

Results
energy relative to the elements, uncorrected	0.94	eV/atom
E_tot	-4.006	eV per atom